Run a
A relaxed PPtS2N crystal, computed with PBE-GGA.

Properties
**DOS at the Fermi energy**: 3.6 states/eV/cell

The structure in CIF format:
```
data_PPtS2N
_chemical_formula_sum 'P1 Pt1 S2 N1'
_cell_length_a 4.8960
_cell_length_b 4.8960
_cell_length_c 3.6635
_cell_angle_alpha 90.00
_cell_angle_beta 90.00
_cell_angle_gamma 90.00
_space_group_name_H-M_alt 'P 4/m m m'
_space_group_IT_number 123
_space_group_name_Hall '-P 4 2'
loop_
_atom_site_label
_atom_site_fract_x
_atom_site_fract_y
_atom_site_fract_z
_atom_site_occupancy
P1 0.0000 0.0000 0.0000 1
Pt1 0.5000 0.5000 0.5000 1
S1 0.0000 0.5000 0.5000 1
N1 0.5000 0.5000 0.0000 1
```

Run b
A relaxed PPtS2N crystal, computed with PBE-GGA.

Properties
**DOS at the Fermi energy**: 2.5 states/eV/cell

The structure in CIF format:
```
data_PPtS2N
_chemical_formula_sum 'P1 Pt1 S2 N1'
_cell_length_a 4.6661
_cell_length_b 4.6661
_cell_length_c 3.1631
_cell_angle_alpha 90.00
_cell_angle_beta 90.00
_cell_angle_gamma 90.00
_space_group_name_H-M_alt 'P 4/m m m'
_space_group_IT_number 123
_space_group_name_Hall '-P 4 2'
loop_
_atom_site_label
_atom_site_fract_x
_atom_site_fract_y
_atom_site_fract_z
_atom_site_occupancy
P1 0.0000 0.0000 0.0000 1
Pt1 0.5000 0.5000 0.5000 1
S1 0.0000 0.5000 0.0000 1
N1 0.0000 0.0000 0.5000 1
```

Unit: meV per atom. Relative energies: run a 343; run b 0.

Run a
A relaxed PPtS2N crystal, computed with PBE-GGA.

Properties
**DOS at the Fermi energy**: 7.7 states/eV/cell

The structure in CIF format:
```
data_PPtS2N
_chemical_formula_sum 'P1 Pt1 S2 N1'
_cell_length_a 4.6888
_cell_length_b 4.6888
_cell_length_c 4.6218
_cell_angle_alpha 90.00
_cell_angle_beta 90.00
_cell_angle_gamma 90.00
_space_group_name_H-M_alt 'P 4/m m m'
_space_group_IT_number 123
_space_group_name_Hall '-P 4 2'
loop_
_atom_site_label
_atom_site_fract_x
_atom_site_fract_y
_atom_site_fract_z
_atom_site_occupancy
P1 0.0000 0.0000 0.0000 1
Pt1 0.0000 0.0000 0.5000 1
S1 0.0000 0.5000 0.5000 1
N1 0.5000 0.5000 0.0000 1
```

Run b
A relaxed PPtS2N crystal, computed with PBE-GGA.

Properties
**DOS at the Fermi energy**: 4.9 states/eV/cell

The structure in CIF format:
```
data_PPtS2N
_chemical_formula_sum 'P1 Pt1 S2 N1'
_cell_length_a 4.1620
_cell_length_b 4.1620
_cell_length_c 3.9615
_cell_angle_alpha 90.00
_cell_angle_beta 90.00
_cell_angle_gamma 90.00
_space_group_name_H-M_alt 'P 4/m m m'
_space_group_IT_number 123
_space_group_name_Hall '-P 4 2'
loop_
_atom_site_label
_atom_site_fract_x
_atom_site_fract_y
_atom_site_fract_z
_atom_site_occupancy
P1 0.0000 0.0000 0.0000 1
Pt1 0.5000 0.5000 0.0000 1
S1 0.0000 0.5000 0.5000 1
N1 0.0000 0.0000 0.5000 1
```

Unit: meV per atom. Relative energies: run a 764; run b 0.